Record 1
A plane-wave DFT calculation with PBE was carried out for Rb2TiTeO6 after structural relaxation.

Cell and atoms, written as CIF:
```
data_Rb2TiTeO6
_cell_length_a 5.9280
_cell_length_b 5.9280
_cell_length_c 10.1191
_cell_angle_alpha 72.97
_cell_angle_beta 72.97
_cell_angle_gamma 60.00
_space_group_name_H-M_alt 'P 1'
_space_group_IT_number 1
_space_group_name_Hall 'P 1'
loop_
_atom_site_label
_atom_site_type_symbol
_atom_site_fract_x
_atom_site_fract_y
_atom_site_fract_z
Ti1 Ti 0.4034 0.4034 0.7899
Te1 Te 0.0000 0.0000 0.0000
O1 O 0.4026 0.8302 0.3645
O2 O 0.2005 0.7128 0.8861
Rb1 Rb 0.2797 0.2797 0.1608
O3 O 0.8302 0.4026 0.3645
O4 O 0.2872 0.7995 0.1139
Rb2 Rb 0.8687 0.8687 0.3938
O5 O 0.7995 0.2872 0.1139
Rb3 Rb 0.7203 0.7203 0.8392
O6 O 0.7995 0.7995 0.1139
O7 O 0.5974 0.1698 0.6355
O8 O 0.5974 0.5974 0.6355
O9 O 0.2005 0.2005 0.8861
O10 O 0.1698 0.5974 0.6355
Rb4 Rb 0.1313 0.1313 0.6062
O11 O 0.7128 0.2005 0.8861
O12 O 0.4026 0.4026 0.3645
Te2 Te 0.5000 0.5000 0.5000
Ti2 Ti 0.5966 0.5966 0.2101
```

## Properties
- Crystal system: trigonal
- Calculated total energy: -6.09 eV per atom
- E_form (uncorrected): -1.82 eV/atom

Record 2
A plane-wave DFT calculation with PBE was carried out for CaTl2Ru after structural relaxation.

Cell and atoms, written as CIF:
```
data_CaTl2Ru
_cell_length_a 5.6174
_cell_length_b 5.6174
_cell_length_c 5.6174
_cell_angle_alpha 134.11
_cell_angle_beta 134.11
_cell_angle_gamma 66.91
_space_group_name_H-M_alt 'P 1'
_space_group_IT_number 1
_space_group_name_Hall 'P 1'
loop_
_atom_site_label
_atom_site_type_symbol
_atom_site_fract_x
_atom_site_fract_y
_atom_site_fract_z
Tl1 Tl 0.2500 0.7500 0.5000
Tl2 Tl 0.0000 0.0000 0.0000
Ru1 Ru 0.7500 0.2500 0.5000
Ca1 Ca 0.5000 0.5000 0.0000
```

## Properties
- Crystal system: tetragonal
- ΔE_f: 0.264 eV per atom
- Calculated total energy: -3.74 eV per atom

Record 3
A plane-wave DFT calculation with PBE was carried out for GaIrPtBr2 after structural relaxation.

Cell and atoms, written as CIF:
```
data_GaIrPtBr2
_cell_length_a 5.2249
_cell_length_b 4.8791
_cell_length_c 5.2249
_cell_angle_alpha 90.00
_cell_angle_beta 90.00
_cell_angle_gamma 90.00
_space_group_name_H-M_alt 'P 1'
_space_group_IT_number 1
_space_group_name_Hall 'P 1'
loop_
_atom_site_label
_atom_site_type_symbol
_atom_site_fract_x
_atom_site_fract_y
_atom_site_fract_z
Ir1 Ir 0.0000 0.5000 0.0000
Pt1 Pt 0.0000 0.0000 0.0000
Br1 Br 0.5000 0.0000 0.0000
Ga1 Ga 0.5000 0.5000 0.5000
Br2 Br 0.0000 0.0000 0.5000
```

## Properties
- Crystal system: tetragonal
- ΔE to the lowest computed polymorph: 0 meV per atom
- Calculated total energy: -3.50 eV per atom
- E_form (uncorrected): 0.75 eV/atom

Record 4
A plane-wave DFT calculation with PBE was carried out for In2GaNi9 after structural relaxation.

Cell and atoms, written as CIF:
```
data_In2GaNi9
_cell_length_a 3.7052
_cell_length_b 3.7052
_cell_length_c 10.9863
_cell_angle_alpha 90.00
_cell_angle_beta 90.00
_cell_angle_gamma 90.00
_space_group_name_H-M_alt 'P 1'
_space_group_IT_number 1
_space_group_name_Hall 'P 1'
loop_
_atom_site_label
_atom_site_type_symbol
_atom_site_fract_x
_atom_site_fract_y
_atom_site_fract_z
Ga1 Ga 0.0000 0.0000 0.0000
Ni1 Ni 0.0000 0.5000 0.8463
In1 In 0.0000 0.0000 0.3276
Ni2 Ni 0.5000 0.0000 0.8463
Ni3 Ni 0.5000 0.5000 0.6722
In2 In 0.0000 0.0000 0.6724
Ni4 Ni 0.5000 0.0000 0.1537
Ni5 Ni 0.5000 0.5000 0.3278
Ni6 Ni 0.5000 0.0000 0.5000
Ni7 Ni 0.0000 0.5000 0.1537
Ni8 Ni 0.0000 0.5000 0.5000
Ni9 Ni 0.5000 0.5000 0.0000
```

## Properties
- Crystal system: tetragonal
- ΔE_f: -0.123 eV per atom
- Calculated total energy: -5.17 eV per atom

- Look up the calculated total energy of the second one.
  -3.74 eV per atom

- What is the calculated total energy in the first record?
  -6.09 eV per atom

- What is the calculated total energy in the fourth record?
  -5.17 eV per atom

Repeat the second record exactly.
A plane-wave DFT calculation with PBE was carried out for CaTl2Ru after structural relaxation.

Cell and atoms, written as CIF:
```
data_CaTl2Ru
_cell_length_a 5.6174
_cell_length_b 5.6174
_cell_length_c 5.6174
_cell_angle_alpha 134.11
_cell_angle_beta 134.11
_cell_angle_gamma 66.91
_space_group_name_H-M_alt 'P 1'
_space_group_IT_number 1
_space_group_name_Hall 'P 1'
loop_
_atom_site_label
_atom_site_type_symbol
_atom_site_fract_x
_atom_site_fract_y
_atom_site_fract_z
Tl1 Tl 0.2500 0.7500 0.5000
Tl2 Tl 0.0000 0.0000 0.0000
Ru1 Ru 0.7500 0.2500 0.5000
Ca1 Ca 0.5000 0.5000 0.0000
```

## Properties
- Crystal system: tetragonal
- ΔE_f: 0.264 eV per atom
- Calculated total energy: -3.74 eV per atom